[1]
A relaxed MgVNO2 crystal, computed with GGA+U.

Properties
DOS(E_F) (states/eV/atom): 0.172
Calculated total energy (eV/atom): -6.558

abc: 3.747 3.747 3.838
angles: 90.00 90.00 90.00
Fractional positions:
Mg 0.000 0.000 0.000
V 0.500 0.500 0.500
N 0.500 0.500 0.000
O 0.000 0.500 0.500
O 0.500 0.000 0.500

[2]
A relaxed MgVNO2 crystal, computed with GGA+U.

Properties
DOS(E_F) (states/eV/atom): 0.277
Calculated total energy (eV/atom): -5.559

abc: 3.805 3.805 3.958
angles: 90.00 90.00 90.00
Fractional positions:
Mg 0.000 0.000 0.000
V 0.500 0.500 0.500
N 0.000 0.000 0.500
O 0.000 0.500 0.000
O 0.500 0.000 0.000

DOS(E_F) of number 1 (MgVNO2)?
0.172 states/eV/atom